## InTeS4 (PBE-GGA)

Data for an optimized crystal structure of InTeS4. Values from VASP.

```
&SYSTEM
  ibrav = 0, nat = 12, ntyp = 3
/
ATOMIC_SPECIES
In 114.82 In.upf
Te 127.60 Te.upf
S 32.06 S.upf
CELL_PARAMETERS angstrom
-3.5313 3.5858 5.9918
3.5313 -3.5858 5.9918
3.5313 3.5858 -5.9918
ATOMIC_POSITIONS crystal
In 0.0000 0.0000 0.0000
In 0.5000 0.0000 0.5000
Te 0.5000 0.0000 0.0000
Te 0.5000 0.5000 0.5000
S 0.1183 0.2279 0.8904
S 0.1625 0.7721 0.3904
S 0.2831 0.2917 0.5086
S 0.2831 0.7745 0.9914
S 0.7169 0.2255 0.0086
S 0.7169 0.7083 0.4914
S 0.8375 0.2279 0.6096
S 0.8817 0.7721 0.1096
```

formation energy without anion corrections = -0.009 eV per atom
magnetic moment = 0.0 μB per formula unit
uncorrected energy = -44.9 eV for the cell shown
D(E_F) = 7.20 states/eV/cell

=====

## ScFeIN2 (PBE-GGA)

Data for an optimized crystal structure of ScFeIN2. Values from VASP.

```
&SYSTEM
  ibrav = 0, nat = 5, ntyp = 4
/
ATOMIC_SPECIES
Sc 44.96 Sc.upf
Fe 55.84 Fe.upf
I 126.90 I.upf
N 14.01 N.upf
CELL_PARAMETERS angstrom
4.0859 0.0000 0.0000
0.0000 4.0859 0.0000
0.0000 0.0000 6.0012
ATOMIC_POSITIONS crystal
Sc 0.0000 0.0000 0.0000
Fe 0.5000 0.5000 0.5000
I 0.0000 0.0000 0.5000
N 0.0000 0.5000 0.0000
N 0.5000 0.0000 0.0000
```

formation energy without anion corrections = 0.916 eV per atom
magnetic moment = 4.1 μB per formula unit
uncorrected energy = -28.4 eV for the cell shown
offset from the most stable computed form = 0.212 eV per atom
D(E_F) = 5.48 states/eV/cell

=====

## Y5Co2Pd (PBE-GGA)

Data for an optimized crystal structure of Y5Co2Pd. Values from VASP.

```
&SYSTEM
  ibrav = 0, nat = 16, ntyp = 3
/
ATOMIC_SPECIES
Y 88.91 Y.upf
Co 58.93 Co.upf
Pd 106.42 Pd.upf
CELL_PARAMETERS angstrom
-3.6243 3.6243 7.1135
3.6243 -3.6243 7.1135
3.6243 3.6243 -7.1135
ATOMIC_POSITIONS crystal
Y 0.0000 0.0000 0.0000
Y 0.0355 0.5355 0.8495
Y 0.1860 0.0355 0.5000
Y 0.3140 0.8140 0.8495
Y 0.4645 0.3140 0.5000
Y 0.5000 0.5000 0.0000
Y 0.5355 0.6860 0.5000
Y 0.6860 0.1860 0.1505
Y 0.8140 0.9645 0.5000
Y 0.9645 0.4645 0.1505
Co 0.1119 0.3881 0.5000
Co 0.3881 0.8881 0.2761
Co 0.6119 0.1119 0.7239
Co 0.8881 0.6119 0.5000
Pd 0.2500 0.2500 0.0000
Pd 0.7500 0.7500 0.0000
```

magnetic moment = 0.0 μB per formula unit
uncorrected energy = -109.2 eV for the cell shown
D(E_F) = 12.60 states/eV/cell

=====

## KLa2SiN (PBE-GGA)

Data for an optimized crystal structure of KLa2SiN. Values from VASP.

```
&SYSTEM
  ibrav = 0, nat = 5, ntyp = 4
/
ATOMIC_SPECIES
K 39.10 K.upf
La 138.91 La.upf
Si 28.09 Si.upf
N 14.01 N.upf
CELL_PARAMETERS angstrom
5.6370 0.0000 0.0000
0.0000 5.6370 0.0000
0.0000 0.0000 5.7049
ATOMIC_POSITIONS crystal
K 0.0000 0.0000 0.0000
La 0.0000 0.5000 0.5000
La 0.5000 0.0000 0.5000
Si 0.0000 0.0000 0.5000
N 0.5000 0.5000 0.0000
```

formation energy without anion corrections = 0.947 eV per atom
magnetic moment = 0.0 μB per formula unit
uncorrected energy = -20.0 eV for the cell shown
D(E_F) = 0.81 states/eV/cell

=====

## Er4HgSbSe2 (PBE-GGA)

Data for an optimized crystal structure of Er4HgSbSe2. Values from VASP.

```
&SYSTEM
  ibrav = 0, nat = 8, ntyp = 4
/
ATOMIC_SPECIES
Er 167.26 Er.upf
Hg 200.59 Hg.upf
Sb 121.76 Sb.upf
Se 78.96 Se.upf
CELL_PARAMETERS angstrom
7.0597 0.0000 0.0000
0.0000 4.0905 0.0000
-2.3491 0.0000 7.1520
ATOMIC_POSITIONS crystal
Er 0.2438 0.0000 0.2375
Er 0.2503 0.5000 0.7639
Er 0.7497 0.5000 0.2361
Er 0.7562 0.0000 0.7625
Hg 0.0000 0.0000 0.5000
Sb 0.5000 0.5000 0.5000
Se 0.0000 0.5000 0.0000
Se 0.5000 0.0000 0.0000
```

formation energy without anion corrections = -1.204 eV per atom
magnetic moment = 0.0 μB per formula unit
uncorrected energy = -39.3 eV for the cell shown
D(E_F) = 3.73 states/eV/cell

=====

## Tb6PmY12 (PBE-GGA)

Data for an optimized crystal structure of Tb6PmY12. Values from VASP.

```
&SYSTEM
  ibrav = 0, nat = 19, ntyp = 3
/
ATOMIC_SPECIES
Tb 158.93 Tb.upf
Pm 145.00 Pm.upf
Y 88.91 Y.upf
CELL_PARAMETERS angstrom
6.7536 3.8992 4.1915
-6.7536 3.8992 4.1915
0.0000 -7.7984 4.1915
ATOMIC_POSITIONS crystal
Tb 0.2461 0.7073 0.7073
Tb 0.2927 0.2927 0.7539
Tb 0.2927 0.7539 0.2927
Tb 0.7073 0.2461 0.7073
Tb 0.7073 0.7073 0.2461
Tb 0.7539 0.2927 0.2927
Pm 0.5000 0.5000 0.5000
Y 0.0000 0.3823 0.6177
Y 0.0000 0.6177 0.3823
Y 0.0326 0.0326 0.3183
Y 0.0326 0.3183 0.0326
Y 0.3183 0.0326 0.0326
Y 0.3823 0.0000 0.6177
Y 0.3823 0.6177 0.0000
Y 0.6177 0.0000 0.3823
Y 0.6177 0.3823 0.0000
Y 0.6817 0.9674 0.9674
Y 0.9674 0.6817 0.9674
Y 0.9674 0.9674 0.6817
```

magnetic moment = 0.0 μB per formula unit
uncorrected energy = -101.8 eV for the cell shown
offset from the most stable computed form = 0.417 eV per atom
D(E_F) = 25.58 states/eV/cell

=====

## CuSb2IrI (PBE-GGA)

Data for an optimized crystal structure of CuSb2IrI. Values from VASP.

```
&SYSTEM
  ibrav = 0, nat = 5, ntyp = 4
/
ATOMIC_SPECIES
Cu 63.55 Cu.upf
Sb 121.76 Sb.upf
Ir 192.22 Ir.upf
I 126.90 I.upf
CELL_PARAMETERS angstrom
5.0990 0.0000 0.0000
0.0000 5.0990 0.0000
0.0000 0.0000 5.7523
ATOMIC_POSITIONS crystal
Cu 0.0000 0.0000 0.0000
Sb 0.0000 0.5000 0.5000
Sb 0.5000 0.0000 0.5000
Ir 0.5000 0.5000 0.5000
I 0.5000 0.5000 0.0000
```

formation energy without anion corrections = 0.752 eV per atom
magnetic moment = 0.0 μB per formula unit
uncorrected energy = -19.0 eV for the cell shown
offset from the most stable computed form = 0.366 eV per atom
D(E_F) = 3.56 states/eV/cell

=====

## Tb2Ho5TmZr (PBE-GGA)

Data for an optimized crystal structure of Tb2Ho5TmZr. Values from VASP.

```
&SYSTEM
  ibrav = 0, nat = 18, ntyp = 4
/
ATOMIC_SPECIES
Tb 158.93 Tb.upf
Ho 164.93 Ho.upf
Tm 168.93 Tm.upf
Zr 91.22 Zr.upf
CELL_PARAMETERS angstrom
2.7321 -10.1716 0.0000
2.7321 10.1716 0.0000
0.0000 0.0000 9.9648
ATOMIC_POSITIONS crystal
Tb 0.1090 0.8910 0.5000
Tb 0.1209 0.8791 0.9233
Tb 0.8791 0.1209 0.4233
Tb 0.8910 0.1090 0.0000
Ho 0.0161 0.9839 0.2009
Ho 0.2642 0.7358 0.5278
Ho 0.3009 0.6991 0.8891
Ho 0.3613 0.6387 0.2119
Ho 0.4841 0.5159 0.9271
Ho 0.5159 0.4841 0.4271
Ho 0.6387 0.3613 0.7119
Ho 0.6991 0.3009 0.3891
Ho 0.7358 0.2642 0.0278
Ho 0.9839 0.0161 0.7009
Tm 0.4020 0.5980 0.6372
Tm 0.5980 0.4020 0.1372
Zr 0.1871 0.8129 0.2118
Zr 0.8129 0.1871 0.7118
```

magnetic moment = 0.0 μB per formula unit
uncorrected energy = -87.2 eV for the cell shown
D(E_F) = 26.97 states/eV/cell

=====

## NaSrBe2Pt (PBE-GGA)

Data for an optimized crystal structure of NaSrBe2Pt. Values from VASP.

```
&SYSTEM
  ibrav = 0, nat = 5, ntyp = 4
/
ATOMIC_SPECIES
Na 22.99 Na.upf
Sr 87.62 Sr.upf
Be 9.01 Be.upf
Pt 195.08 Pt.upf
CELL_PARAMETERS angstrom
4.5727 0.0000 0.0000
0.0000 4.5727 0.0000
0.0000 0.0000 5.5835
ATOMIC_POSITIONS crystal
Na 0.0000 0.0000 0.0000
Sr 0.5000 0.5000 0.0000
Be 0.0000 0.5000 0.5000
Be 0.5000 0.0000 0.5000
Pt 0.5000 0.5000 0.5000
```

magnetic moment = 0.0 μB per formula unit
uncorrected energy = -16.1 eV for the cell shown
D(E_F) = 2.36 states/eV/cell

=====

## HRuPtW2 (PBE-GGA)

Data for an optimized crystal structure of HRuPtW2. Values from VASP.

```
&SYSTEM
  ibrav = 0, nat = 5, ntyp = 4
/
ATOMIC_SPECIES
H 1.01 H.upf
Ru 101.07 Ru.upf
Pt 195.08 Pt.upf
W 183.84 W.upf
CELL_PARAMETERS angstrom
3.9671 0.0000 0.0000
0.0000 3.9671 0.0000
0.0000 0.0000 4.0267
ATOMIC_POSITIONS crystal
H 0.0000 0.0000 0.0000
Ru 0.5000 0.5000 0.5000
Pt 0.0000 0.0000 0.5000
W 0.0000 0.5000 0.0000
W 0.5000 0.0000 0.0000
```

magnetic moment = 0.0 μB per formula unit
uncorrected energy = -44.4 eV for the cell shown
offset from the most stable computed form = 0.073 eV per atom
D(E_F) = 2.69 states/eV/cell